Density functional theory data (PBE) for an optimized crystal structure of K4Tl3. Values from VASP.

Quantum ESPRESSO input file:
```
&SYSTEM
  ibrav = 0, nat = 7, ntyp = 2
/
ATOMIC_SPECIES
K 39.10 K.upf
Tl 204.38 Tl.upf
CELL_PARAMETERS angstrom
-1.5365 -5.1738 4.2835
3.5593 -1.2436 -5.7674
6.2110 1.1277 3.5899
ATOMIC_POSITIONS crystal
K 0.0000 0.0000 0.2352
K 0.0000 0.0000 0.7648
K 0.6667 0.3333 0.5000
K 0.3333 0.6667 0.5000
Tl 0.0000 0.5000 0.0000
Tl 0.5000 0.5000 0.0000
Tl 0.5000 0.0000 0.0000
```

As for the formation energy: -0.035 eV per atom. The calculation puts the calculated total energy at -1.676 eV/atom.